Record 1
# PBEsol Sr2LiS2, relaxed
# - Electronic total energy: -4.31 eV per atom
# - Total moment: 0.0 μB/f.u.
# - V: 36.372 Å³/atom
# - DOS at the Fermi energy: 0.378 states/eV per atom
data_Sr2LiS2
_symmetry_space_group_name_H-M 'I 4/m m m'
_symmetry_Int_Tables_number 139
_symmetry_space_group_name_Hall '-I 4 2'
_cell_length_a 5.733
_cell_length_b 5.733
_cell_length_c 11.066
_cell_angle_alpha 90.00
_cell_angle_beta 90.00
_cell_angle_gamma 90.00
loop_
_atom_site_label
_atom_site_fract_x
_atom_site_fract_y
_atom_site_fract_z
Sr1 0.000 0.500 0.250
Li1 0.000 0.000 0.000
S1 0.000 0.000 0.208


Record 2
# PBEsol MgHgCl, relaxed
# - Electronic total energy: -1.63 eV per atom
# - Total moment: 0.0 μB/f.u.
# - V: 27.782 Å³/atom
# - DOS at the Fermi energy: 0.625 states/eV per atom
data_MgHgCl
_symmetry_space_group_name_H-M 'F -4 3 m'
_symmetry_Int_Tables_number 216
_symmetry_space_group_name_Hall 'F -4 2 3'
_cell_length_a 6.934
_cell_length_b 6.934
_cell_length_c 6.934
_cell_angle_alpha 90.00
_cell_angle_beta 90.00
_cell_angle_gamma 90.00
loop_
_atom_site_label
_atom_site_fract_x
_atom_site_fract_y
_atom_site_fract_z
Mg1 0.000 0.000 0.000
Hg1 0.250 0.250 0.750
Cl1 0.000 0.000 0.500


Record 3
# PBEsol NbBi4ClO8, relaxed
# - Electronic total energy: -6.77 eV per atom
# - Total moment: 0.0 μB/f.u.
# - V: 15.462 Å³/atom
data_NbBi4ClO8
_symmetry_space_group_name_H-M 'P b c n'
_symmetry_Int_Tables_number 60
_cell_length_a 5.490
_cell_length_b 5.533
_cell_length_c 28.506
_cell_angle_alpha 90.00
_cell_angle_beta 90.00
_cell_angle_gamma 90.00
loop_
_symmetry_equiv_pos_as_xyz
'x,y,z'
'-x,-y,-z'
'-x+1/2,-y+1/2,z+1/2'
'x+1/2,y+1/2,-z+1/2'
'x+1/2,-y+1/2,-z'
'-x+1/2,y+1/2,z'
'-x,y,-z+1/2'
'x,-y,z+1/2'
loop_
_atom_site_label
_atom_site_fract_x
_atom_site_fract_y
_atom_site_fract_z
Nb1 0.000 0.012 0.250
Bi1 0.008 0.005 0.567
Bi2 0.017 0.456 0.343
Cl1 0.000 0.500 0.000
O1 0.105 0.078 0.316
O2 0.246 0.301 0.232
O3 0.248 0.244 0.106
O4 0.250 0.245 0.896


Record 4
# PBEsol CsLi3Zr, relaxed
# - Electronic total energy: -2.24 eV per atom
# - Total moment: 4.7 μB/f.u.
# - Formation energy from the elements: 0.9469 eV/atom
# - V: 39.469 Å³/atom
# - DOS at the Fermi energy: 1.504 states/eV per atom
data_CsLi3Zr
_symmetry_space_group_name_H-M 'P m -3 m'
_symmetry_Int_Tables_number 221
_symmetry_space_group_name_Hall '-P 4 2 3'
_cell_length_a 5.822
_cell_length_b 5.822
_cell_length_c 5.822
_cell_angle_alpha 90.00
_cell_angle_beta 90.00
_cell_angle_gamma 90.00
loop_
_atom_site_label
_atom_site_fract_x
_atom_site_fract_y
_atom_site_fract_z
Cs1 0.000 0.000 0.000
Li1 0.000 0.500 0.500
Zr1 0.500 0.500 0.500


Record 5
# PBEsol TlP2Rh, relaxed
# - Excess energy over the best structure of this formula in the dataset: 0.000 eV per atom
# - Electronic total energy: -5.77 eV per atom
# - Total moment: 0.0 μB/f.u.
# - Formation energy from the elements: -0.1774 eV/atom
# - V: 19.271 Å³/atom
# - DOS at the Fermi energy: 0.432 states/eV per atom
data_TlP2Rh
_symmetry_space_group_name_H-M 'P 1 2/m 1'
_symmetry_Int_Tables_number 10
_cell_length_a 4.375
_cell_length_b 3.831
_cell_length_c 4.893
_cell_angle_alpha 90.00
_cell_angle_beta 109.98
_cell_angle_gamma 90.00
loop_
_symmetry_equiv_pos_as_xyz
'x,y,z'
'-x,-y,-z'
'-x,y,-z'
'x,-y,z'
loop_
_atom_site_label
_atom_site_fract_x
_atom_site_fract_y
_atom_site_fract_z
Tl1 0.000 0.000 0.000
P1 0.261 0.500 0.612
Rh1 0.500 0.000 0.500


Record 6
# PBEsol Ta2CrIn, relaxed
# - Electronic total energy: -9.28 eV per atom
# - Total moment: 0.0 μB/f.u.
# - Formation energy from the elements: 0.3050 eV/atom
# - V: 16.656 Å³/atom
# - DOS at the Fermi energy: 0.820 states/eV per atom
data_Ta2CrIn
_symmetry_space_group_name_H-M 'I 4/m m m'
_symmetry_Int_Tables_number 139
_symmetry_space_group_name_Hall '-I 4 2'
_cell_length_a 4.115
_cell_length_b 4.115
_cell_length_c 7.870
_cell_angle_alpha 90.00
_cell_angle_beta 90.00
_cell_angle_gamma 90.00
loop_
_atom_site_label
_atom_site_fract_x
_atom_site_fract_y
_atom_site_fract_z
Ta1 0.000 0.500 0.250
Cr1 0.000 0.000 0.000
In1 0.000 0.000 0.500


Record 7
# PBEsol ZnNi3, relaxed
# - Electronic total energy: -5.12 eV per atom
# - Total moment: 0.8 μB/f.u.
# - Formation energy from the elements: -0.1041 eV/atom
# - V: 10.868 Å³/atom
# - DOS at the Fermi energy: 1.309 states/eV per atom
data_ZnNi3
_symmetry_space_group_name_H-M 'P m m 2'
_symmetry_Int_Tables_number 25
_cell_length_a 2.514
_cell_length_b 4.064
_cell_length_c 4.254
_cell_angle_alpha 90.00
_cell_angle_beta 90.00
_cell_angle_gamma 90.00
loop_
_symmetry_equiv_pos_as_xyz
'x,y,z'
'-x,-y,z'
'-x,y,z'
'x,-y,z'
loop_
_atom_site_label
_atom_site_fract_x
_atom_site_fract_y
_atom_site_fract_z
Zn1 0.000 0.000 0.000
Ni1 0.000 0.500 0.650
Ni2 0.500 0.000 0.502
Ni3 0.500 0.500 0.162


Record 8
# PBEsol IrCl3, relaxed
# - Electronic total energy: -3.71 eV per atom
# - Total moment: 0.0 μB/f.u.
# - V: 20.026 Å³/atom
# - DOS at the Fermi energy: 0.797 states/eV per atom
data_IrCl3
_symmetry_space_group_name_H-M 'C m m m'
_symmetry_Int_Tables_number 65
_symmetry_space_group_name_Hall '-C 2 2'
_cell_length_a 2.895
_cell_length_b 5.791
_cell_length_c 9.558
_cell_angle_alpha 90.00
_cell_angle_beta 90.00
_cell_angle_gamma 90.00
loop_
_atom_site_label
_atom_site_fract_x
_atom_site_fract_y
_atom_site_fract_z
Ir1 0.000 0.000 0.000
Cl1 0.000 0.000 0.500
Cl2 0.000 0.500 0.190


Record 9
# PBEsol ScSn3, relaxed
# - Electronic total energy: -5.17 eV per atom
# - Total moment: 0.0 μB/f.u.
# - Formation energy from the elements: -0.3266 eV/atom
# - V: 23.592 Å³/atom
# - DOS at the Fermi energy: 0.737 states/eV per atom
data_ScSn3
_symmetry_space_group_name_H-M 'I 4/m m m'
_symmetry_Int_Tables_number 139
_symmetry_space_group_name_Hall '-I 4 2'
_cell_length_a 4.309
_cell_length_b 4.309
_cell_length_c 10.165
_cell_angle_alpha 90.00
_cell_angle_beta 90.00
_cell_angle_gamma 90.00
loop_
_atom_site_label
_atom_site_fract_x
_atom_site_fract_y
_atom_site_fract_z
Sc1 0.000 0.000 0.000
Sn1 0.000 0.000 0.500
Sn2 0.000 0.500 0.250


Record 10
# PBEsol LiCaTl, relaxed
# - Excess energy over the best structure of this formula in the dataset: 0.015 eV per atom
# - Electronic total energy: -2.56 eV per atom
# - Total moment: 0.0 μB/f.u.
# - Formation energy from the elements: -0.3139 eV/atom
# - V: 25.152 Å³/atom
# - DOS at the Fermi energy: 0.277 states/eV per atom
data_LiCaTl
_symmetry_space_group_name_H-M 'I 4 m m'
_symmetry_Int_Tables_number 107
_symmetry_space_group_name_Hall 'I 4 -2'
_cell_length_a 3.806
_cell_length_b 3.806
_cell_length_c 10.420
_cell_angle_alpha 90.00
_cell_angle_beta 90.00
_cell_angle_gamma 90.00
loop_
_atom_site_label
_atom_site_fract_x
_atom_site_fract_y
_atom_site_fract_z
Li1 0.000 0.000 0.000
Ca1 0.000 0.000 0.693
Tl1 0.000 0.000 0.376


Record 11
# PBEsol MnMo3Cl, relaxed
# - Electronic total energy: -7.87 eV per atom
# - Total moment: 0.0 μB/f.u.
# - V: 17.754 Å³/atom
# - DOS at the Fermi energy: 1.100 states/eV per atom
data_MnMo3Cl
_symmetry_space_group_name_H-M 'P m -3 m'
_symmetry_Int_Tables_number 221
_symmetry_space_group_name_Hall '-P 4 2 3'
_cell_length_a 4.461
_cell_length_b 4.461
_cell_length_c 4.461
_cell_angle_alpha 90.00
_cell_angle_beta 90.00
_cell_angle_gamma 90.00
loop_
_atom_site_label
_atom_site_fract_x
_atom_site_fract_y
_atom_site_fract_z
Mn1 0.000 0.000 0.000
Mo1 0.000 0.000 0.500
Cl1 0.500 0.500 0.500


Record 12
# PBEsol Tb2MnNiO6, relaxed
# - Electronic total energy: -8.27 eV per atom
# - Total moment: 5.0 μB/f.u.
# - V: 10.602 Å³/atom
data_Tb2MnNiO6
_symmetry_space_group_name_H-M 'P 1 21/c 1'
_symmetry_Int_Tables_number 14
_cell_length_a 5.173
_cell_length_b 5.521
_cell_length_c 9.010
_cell_angle_alpha 90.00
_cell_angle_beta 124.51
_cell_angle_gamma 90.00
loop_
_symmetry_equiv_pos_as_xyz
'x,y,z'
'-x,-y,-z'
'-x,y+1/2,-z+1/2'
'x,-y+1/2,z+1/2'
loop_
_atom_site_label
_atom_site_fract_x
_atom_site_fract_y
_atom_site_fract_z
Tb1 0.229 0.073 0.249
Mn1 0.500 0.000 0.000
Ni1 0.000 0.000 0.500
O1 0.151 0.190 0.951
O2 0.262 0.707 0.948
O3 0.355 0.028 0.755


What did the second record say?
# PBEsol MgHgCl, relaxed
# - Electronic total energy: -1.63 eV per atom
# - Total moment: 0.0 μB/f.u.
# - V: 27.782 Å³/atom
# - DOS at the Fermi energy: 0.625 states/eV per atom
data_MgHgCl
_symmetry_space_group_name_H-M 'F -4 3 m'
_symmetry_Int_Tables_number 216
_symmetry_space_group_name_Hall 'F -4 2 3'
_cell_length_a 6.934
_cell_length_b 6.934
_cell_length_c 6.934
_cell_angle_alpha 90.00
_cell_angle_beta 90.00
_cell_angle_gamma 90.00
loop_
_atom_site_label
_atom_site_fract_x
_atom_site_fract_y
_atom_site_fract_z
Mg1 0.000 0.000 0.000
Hg1 0.250 0.250 0.750
Cl1 0.000 0.000 0.500


What is the electronic total energy in the ninth record?
-5.17 eV per atom